# meta-GGA SCAN ZnSb2Pb, single point on PBEsol structure
# ΔE_f (raw) = 206.7 meV per atom
# volume = 101.8 Å³/cell
data_ZnSb2Pb
_chemical_formula_sum 'Zn1 Sb2 Pb1'
_space_group_name_H-M_alt 'P 4 m m'
_space_group_IT_number 99
_space_group_name_Hall 'P 4 -2'
_cell_length_a 3.8524
_cell_length_b 3.8524
_cell_length_c 6.8565
_cell_angle_alpha 90.00
_cell_angle_beta 90.00
_cell_angle_gamma 90.00
loop_
_atom_site_label
_atom_site_type_symbol
_atom_site_fract_x
_atom_site_fract_y
_atom_site_fract_z
Zn1 Zn 0.0000 0.0000 0.0000
Sb1 Sb 0.0000 0.0000 0.5596
Sb2 Sb 0.5000 0.5000 0.7587
Pb1 Pb 0.5000 0.5000 0.2176